Density functional theory data (GGA-PBE) for a relaxed structure of ZrFeCoPb.

```
data_ZrFeCoPb
_cell_length_a 4.6217
_cell_length_b 4.6217
_cell_length_c 4.6217
_cell_angle_alpha 60.00
_cell_angle_beta 60.00
_cell_angle_gamma 60.00
_space_group_name_H-M_alt 'P 1'
_space_group_IT_number 1
_space_group_name_Hall 'P 1'
loop_
_atom_site_label
_atom_site_type_symbol
_atom_site_fract_x
_atom_site_fract_y
_atom_site_fract_z
Zr1 Zr 0.0000 0.0000 0.0000
Fe1 Fe 0.5000 0.5000 0.5000
Co1 Co 0.7500 0.7500 0.7500
Pb1 Pb 0.2500 0.2500 0.2500
```

The calculation puts the offset from the most stable computed form at 292.5 meV per atom. Its volume is 17.45 A^3/atom. As for the density: 9.8 g cm⁻³. The value obtained for the total magnetic moment is 3.64 μB/f.u. As for the symmetry: F-43m.